(1)
## Y2HfHg2 (PBE-GGA)

Data for crystalline Y2HfHg2 at its relaxed geometry.

Results
The volume comes out at 257.2 Å³/cell. The formation enthalpy at 0 K comes out at -185 meV per atom. As for the crystal system: tetragonal.

Cell lengths 8.137, 8.137, 3.885 Å; angles 90.00, 90.00, 90.00 degrees
Positions (direct):
Y1 0.171 0.329 0.000
Y2 0.329 0.829 0.000
Y3 0.671 0.171 0.000
Y4 0.829 0.671 0.000
Hf1 0.000 0.000 0.500
Hf2 0.500 0.500 0.500
Hg1 0.132 0.632 0.500
Hg2 0.368 0.132 0.500
Hg3 0.632 0.868 0.500
Hg4 0.868 0.368 0.500

***

(2)
## Y2HfZnHg (PBE-GGA)

Data for crystalline Y2HfZnHg at its relaxed geometry.

Results
The volume comes out at 166.0 Å³/cell. The formation enthalpy at 0 K comes out at 795 meV per atom. As for the crystal system: tetragonal.

Cell lengths 5.562, 5.562, 5.366 Å; angles 90.00, 90.00, 90.00 degrees
Positions (direct):
Y1 0.000 0.500 0.000
Y2 0.500 0.000 0.000
Hf1 0.000 0.000 0.000
Zn1 0.500 0.500 0.500
Hg1 0.000 0.000 0.500

***

(3)
## YHf2ZnHg (PBE-GGA)

Data for crystalline YHf2ZnHg at its relaxed geometry.

Results
The volume comes out at 151.4 Å³/cell. The formation enthalpy at 0 K comes out at 943 meV per atom. As for the crystal system: tetragonal.

Cell lengths 5.229, 5.229, 5.538 Å; angles 90.00, 90.00, 90.00 degrees
Positions (direct):
Y1 0.000 0.000 0.000
Hf1 0.000 0.500 0.500
Hf2 0.500 0.000 0.500
Zn1 0.500 0.500 0.000
Hg1 0.000 0.000 0.500

***

(4)
## Hf2ZnHg (PBE-GGA)

Data for crystalline Hf2ZnHg at its relaxed geometry.

Results
The volume comes out at 78.5 Å³/cell. For the energy above the lowest structure with this stoichiometry, the calculation gives 0 meV per atom. The formation enthalpy at 0 K comes out at -84 meV per atom. As for the crystal system: tetragonal.

Cell lengths 4.348, 4.348, 4.153 Å; angles 90.00, 90.00, 90.00 degrees
Positions (direct):
Hf1 0.000 0.500 0.000
Hf2 0.500 0.000 0.000
Zn1 0.000 0.000 0.500
Hg1 0.500 0.500 0.500